<P>
Computed, not measured: a relaxed structure of PuInBi2 at the PBE level of DFT.

Properties
The value obtained for the total moment is 1.4381 μB per atom. The space-group type is P4/mmm.

a b c (Å): 4.206 4.206 6.655
angles (deg): 90.00 90.00 90.00
Element x y z (fractional)
Pu 0.000 0.000 0.000
In 0.000 0.000 0.500
Bi 0.500 0.500 0.242
Bi 0.500 0.500 0.758

***

<Q>
Computed, not measured: a relaxed structure of PuInBi2 at the PBE level of DFT.

Properties
The value obtained for the total moment is 1.3654 μB per atom. The space-group type is R3m.

a b c (Å): 4.846 4.846 19.809
angles (deg): 90.00 90.00 120.00
Element x y z (fractional)
Pu 0.000 0.000 0.000
Pu 0.333 0.667 0.667
Pu 0.667 0.333 0.333
In 0.000 0.000 0.829
In 0.333 0.667 0.495
In 0.667 0.333 0.162
Bi 0.000 0.000 0.413
Bi 0.000 0.000 0.589
Bi 0.333 0.667 0.079
Bi 0.333 0.667 0.256
Bi 0.667 0.333 0.746
Bi 0.667 0.333 0.923

***

<R>
Computed, not measured: a relaxed structure of PuInBi2 at the PBE level of DFT.

Properties
The value obtained for the total moment is 1.3778 μB per atom. The space-group type is P4/mmm.

a b c (Å): 4.965 4.965 4.609
angles (deg): 90.00 90.00 90.00
Element x y z (fractional)
Pu 0.000 0.000 0.000
In 0.500 0.500 0.000
Bi 0.000 0.500 0.500
Bi 0.500 0.000 0.500

***

<S>
Computed, not measured: a relaxed structure of PuInBi2 at the PBE level of DFT.

Properties
The value obtained for the total moment is 1.4037 μB per atom. The space-group type is Fm-3m.

a b c (Å): 7.832 7.832 7.832
angles (deg): 90.00 90.00 90.00
Element x y z (fractional)
Pu 0.000 0.000 0.000
Pu 0.000 0.500 0.500
Pu 0.500 0.000 0.500
Pu 0.500 0.500 0.000
In 0.000 0.000 0.500
In 0.000 0.500 0.000
In 0.500 0.000 0.000
In 0.500 0.500 0.500
Bi 0.250 0.250 0.250
Bi 0.250 0.250 0.750
Bi 0.250 0.750 0.250
Bi 0.250 0.750 0.750
Bi 0.750 0.250 0.250
Bi 0.750 0.250 0.750
Bi 0.750 0.750 0.250
Bi 0.750 0.750 0.750

***

In order of decreasing stability: <R>, <P>, <S>, <Q>.

***

<P>
Computed, not measured: a relaxed structure of PuInBiSb at the PBE level of DFT.

Properties
The value obtained for the total moment is 1.3491 μB per atom. The space-group type is Pmmm.

a b c (Å): 4.499 4.828 4.986
angles (deg): 90.00 90.00 90.00
Element x y z (fractional)
Pu 0.000 0.000 0.000
In 0.000 0.500 0.500
Bi 0.500 0.000 0.500
Sb 0.500 0.500 0.000

***

<Q>
Computed, not measured: a relaxed structure of PuInBiSb at the PBE level of DFT.

Properties
The value obtained for the total moment is 1.3731 μB per atom. The space-group type is F-43m.

a b c (Å): 7.711 7.711 7.711
angles (deg): 90.00 90.00 90.00
Element x y z (fractional)
Pu 0.000 0.000 0.000
Pu 0.000 0.500 0.500
Pu 0.500 0.000 0.500
Pu 0.500 0.500 0.000
In 0.000 0.000 0.500
In 0.000 0.500 0.000
In 0.500 0.000 0.000
In 0.500 0.500 0.500
Bi 0.250 0.250 0.750
Bi 0.250 0.750 0.250
Bi 0.750 0.250 0.250
Bi 0.750 0.750 0.750
Sb 0.250 0.250 0.250
Sb 0.250 0.750 0.750
Sb 0.750 0.250 0.750
Sb 0.750 0.750 0.250

***

In order of decreasing stability: <P>, <Q>.

***

<P>
Computed, not measured: a relaxed structure of PuTlInBi at the PBE level of DFT.

Properties
The value obtained for the total moment is 1.4128 μB per atom. The space-group type is Pmmm.

a b c (Å): 4.644 4.728 5.046
angles (deg): 90.00 90.00 90.00
Element x y z (fractional)
Pu 0.000 0.000 0.000
Tl 0.500 0.000 0.500
In 0.000 0.500 0.500
Bi 0.500 0.500 0.000

***

<Q>
Computed, not measured: a relaxed structure of PuTlInBi at the PBE level of DFT.

Properties
The value obtained for the total moment is 1.4852 μB per atom. The space-group type is F-43m.

a b c (Å): 7.756 7.756 7.756
angles (deg): 90.00 90.00 90.00
Element x y z (fractional)
Pu 0.000 0.000 0.000
Pu 0.000 0.500 0.500
Pu 0.500 0.000 0.500
Pu 0.500 0.500 0.000
Tl 0.250 0.250 0.250
Tl 0.250 0.750 0.750
Tl 0.750 0.250 0.750
Tl 0.750 0.750 0.250
In 0.000 0.000 0.500
In 0.000 0.500 0.000
In 0.500 0.000 0.000
In 0.500 0.500 0.500
Bi 0.250 0.250 0.750
Bi 0.250 0.750 0.250
Bi 0.750 0.250 0.250
Bi 0.750 0.750 0.750

***

In order of decreasing stability: <P>, <Q>.